*a*
Here is a relaxed NaYTeN2 crystal from Alexandria via LeMat-Bulk. Energies are from PBE.

POSCAR file:
```
NaYTeN2
1.0
4.661 0.000 0.000
0.000 4.661 0.000
0.000 0.000 6.101
Y Na Te N
1 1 1 2
Direct
0.000 0.000 0.000
0.500 0.500 0.500
0.000 0.000 0.500
0.000 0.500 0.000
0.500 0.000 0.000
```

## Properties
D(E_F)	3.3	states/eV per cell
space group	P4/mmm, No. 123

=====

*b*
Here is a relaxed NaYTeN2 crystal from Alexandria via LeMat-Bulk. Energies are from PBE.

POSCAR file:
```
NaYTeN2
1.0
4.441 0.000 0.000
0.000 4.441 0.000
0.000 0.000 5.383
Y Na Te N
1 1 1 2
Direct
0.500 0.500 0.500
0.000 0.000 0.000
0.000 0.000 0.500
0.000 0.500 0.000
0.500 0.000 0.000
```

## Properties
D(E_F)	3.0	states/eV per cell
space group	P4/mmm, No. 123

=====

Q: What are the energies relative to the best structure? A: *a* 0.0; *b* 70.3, in kJ/mol of atoms.

=====

*a*
Here is a relaxed NaZnTe2N crystal from Alexandria via LeMat-Bulk. Energies are from PBE.

POSCAR file:
```
NaZnTe2N
1.0
-1.688 -3.482 4.069
-0.402 -4.172 -3.737
4.161 -1.102 0.783
Na Zn Te N
1 1 2 1
Direct
0.000 0.000 0.000
0.500 0.500 0.500
0.000 0.500 0.000
0.500 0.000 0.000
0.000 0.000 0.500
```

## Properties
D(E_F)	4.9	states/eV per cell
space group	P4/mmm, No. 123

=====

*b*
Here is a relaxed NaZnTe2N crystal from Alexandria via LeMat-Bulk. Energies are from PBE.

POSCAR file:
```
NaZnTe2N
1.0
6.029 0.000 0.000
0.000 6.029 0.000
0.000 0.000 3.548
Na Zn Te N
1 1 2 1
Direct
0.500 0.500 0.500
0.000 0.000 0.000
0.000 0.500 0.000
0.500 0.000 0.000
0.000 0.000 0.500
```

## Properties
D(E_F)	3.3	states/eV per cell
space group	P4/mmm, No. 123

=====

Q: What are the energies relative to the best structure? A: *a* 78.4; *b* 0.0, in kJ/mol of atoms.

=====

*a*
Here is a relaxed NaZnTeN2 crystal from Alexandria via LeMat-Bulk. Energies are from PBE.

POSCAR file:
```
NaZnTeN2
1.0
4.222 0.000 0.000
0.000 4.222 0.000
0.000 0.000 5.685
Na Zn Te N
1 1 1 2
Direct
0.500 0.500 0.500
0.000 0.000 0.000
0.000 0.000 0.500
0.000 0.500 0.000
0.500 0.000 0.000
```

## Properties
D(E_F)	3.4	states/eV per cell
space group	P4/mmm, No. 123

=====

*b*
Here is a relaxed NaZnTeN2 crystal from Alexandria via LeMat-Bulk. Energies are from PBE.

POSCAR file:
```
NaZnTeN2
1.0
-2.983 -2.578 1.955
2.389 0.038 3.695
-3.129 5.115 1.970
Na Zn Te N
1 1 1 2
Direct
0.000 0.000 0.000
0.500 0.500 0.500
0.000 0.000 0.500
0.000 0.500 0.000
0.500 0.000 0.000
```

## Properties
D(E_F)	2.9	states/eV per cell
space group	P4/mmm, No. 123

=====

Q: What are the energies relative to the best structure? A: *a* 0.0; *b* 55.0, in kJ/mol of atoms.

=====

*a*
Here is a relaxed NaZrTeN2 crystal from Alexandria via LeMat-Bulk. Energies are from PBE.

POSCAR file:
```
NaZrTeN2
1.0
-3.313 -2.804 -0.436
2.884 -3.806 2.562
-1.631 1.335 3.819
Na Te Zr N
1 1 1 2
Direct
0.500 0.500 0.500
0.000 0.000 0.000
0.000 0.500 0.000
0.000 0.000 0.500
0.500 0.000 0.000
```

## Properties
D(E_F)	5.5	states/eV per cell
space group	P4/mmm, No. 123

=====

*b*
Here is a relaxed NaZrTeN2 crystal from Alexandria via LeMat-Bulk. Energies are from PBE.

POSCAR file:
```
NaZrTeN2
1.0
4.353 0.000 0.000
0.000 4.353 0.000
0.000 0.000 5.826
Na Te Zr N
1 1 1 2
Direct
0.500 0.500 0.500
0.000 0.000 0.500
0.000 0.000 0.000
0.000 0.500 0.000
0.500 0.000 0.000
```

## Properties
D(E_F)	3.2	states/eV per cell
space group	P4/mmm, No. 123

=====

*c*
Here is a relaxed NaZrTeN2 crystal from Alexandria via LeMat-Bulk. Energies are from PBE.

POSCAR file:
```
NaZrTeN2
1.0
-0.821 -3.944 1.426
4.191 -0.718 0.426
-0.189 1.822 4.931
Na Te Zr N
1 1 1 2
Direct
0.000 0.000 0.000
0.000 0.000 0.500
0.500 0.500 0.500
0.000 0.500 0.000
0.500 0.000 0.000
```

## Properties
D(E_F)	3.0	states/eV per cell
space group	P4/mmm, No. 123

=====

Q: What are the energies relative to the best structure? A: *a* 144.8; *b* 0.0; *c* 138.1, in kJ/mol of atoms.

=====

*a*
Here is a relaxed Na3TiN crystal from Alexandria via LeMat-Bulk. Energies are from PBE.

POSCAR file:
```
Na3TiN
1.0
4.826 0.000 0.000
0.000 4.826 0.000
0.000 0.000 4.826
Na N Ti
3 1 1
Direct
0.000 0.500 0.000
0.000 0.000 0.500
0.500 0.000 0.000
0.000 0.000 0.000
0.500 0.500 0.500
```

## Properties
D(E_F)	5.6	states/eV per cell
space group	Pm-3m, No. 221

=====

*b*
Here is a relaxed Na3TiN crystal from Alexandria via LeMat-Bulk. Energies are from PBE.

POSCAR file:
```
Na3TiN
1.0
5.791 0.000 0.000
0.000 5.791 0.000
0.000 0.000 5.791
Na N Ti
3 1 1
Direct
0.000 0.500 0.000
0.000 0.000 0.500
0.500 0.000 0.000
0.500 0.500 0.500
0.000 0.000 0.000
```

## Properties
D(E_F)	9.5	states/eV per cell
space group	Pm-3m, No. 221

=====

Q: What are the energies relative to the best structure? A: *a* 0.0; *b* 110.2, in kJ/mol of atoms.

=====

*a*
Here is a relaxed NaTi3N crystal from Alexandria via LeMat-Bulk. Energies are from PBE.

POSCAR file:
```
NaTi3N
1.0
-1.371 -0.835 4.336
-3.547 -2.495 -1.602
2.629 -3.802 0.099
Na N Ti
1 1 3
Direct
0.000 0.000 0.000
0.500 0.500 0.500
0.000 0.500 0.000
0.000 0.000 0.500
0.500 0.000 0.000
```

## Properties
D(E_F)	6.9	states/eV per cell
space group	Pm-3m, No. 221

=====

*b*
Here is a relaxed NaTi3N crystal from Alexandria via LeMat-Bulk. Energies are from PBE.

POSCAR file:
```
NaTi3N
1.0
4.246 0.000 0.000
0.000 4.246 0.000
0.000 0.000 4.246
Na N Ti
1 1 3
Direct
0.500 0.500 0.500
0.000 0.000 0.000
0.000 0.500 0.000
0.000 0.000 0.500
0.500 0.000 0.000
```

## Properties
D(E_F)	5.0	states/eV per cell
space group	Pm-3m, No. 221

=====

Q: What are the energies relative to the best structure? A: *a* 271.9; *b* 0.0, in kJ/mol of atoms.